No. 1
Here is a relaxed structure of Fe2NiHW from Alexandria. Energies are from PBE-GGA.

## Properties
**Theoretical density**: 11.778 Mg/m³
**Polymorph energy (0 for the lowest one)**: 9.3 kJ/mol of atoms
**Total energy**: -0.5656 Ry per atom
**Fermi-level density of states**: 3.73 states/eV/cell
**Space-group type**: P4/mmm (123)

Cell and atoms, written as CIF:
```
data_Fe2NiHW
_symmetry_space_group_name_H-M 'P 1'
_symmetry_Int_Tables_number 1
_symmetry_space_group_name_Hall 'P 1'
_cell_length_a 3.632
_cell_length_b 3.632
_cell_length_c 3.795
_cell_angle_alpha 90.00
_cell_angle_beta 90.00
_cell_angle_gamma 90.00
loop_
_atom_site_label
_atom_site_type_symbol
_atom_site_fract_x
_atom_site_fract_y
_atom_site_fract_z
Fe1 Fe 0.000 0.500 0.000
Fe2 Fe 0.500 0.000 0.000
Ni1 Ni 0.000 0.000 0.500
H1 H 0.500 0.500 0.000
W1 W 0.500 0.500 0.500
```

=====

No. 2
Here is a relaxed structure of TlSnGe2Cl8 from Alexandria. Energies are from PBE-GGA.

## Properties
**Theoretical density**: 3.142 Mg/m³
**Total energy**: -0.2483 Ry per atom
**Fermi-level density of states**: 3.30 states/eV/cell
**Space-group type**: P-1 (2)
**Formation energy (no corrections)**: -0.85 eV/atom

Cell and atoms, written as CIF:
```
data_TlSnGe2Cl8
_symmetry_space_group_name_H-M 'P 1'
_symmetry_Int_Tables_number 1
_symmetry_space_group_name_Hall 'P 1'
_cell_length_a 6.575
_cell_length_b 6.796
_cell_length_c 8.953
_cell_angle_alpha 86.36
_cell_angle_beta 87.40
_cell_angle_gamma 85.11
loop_
_atom_site_label
_atom_site_type_symbol
_atom_site_fract_x
_atom_site_fract_y
_atom_site_fract_z
Tl1 Tl 0.000 0.000 0.000
Sn1 Sn 0.000 0.000 0.500
Ge1 Ge 0.448 0.456 0.263
Ge2 Ge 0.552 0.544 0.737
Cl1 Cl 0.215 0.798 0.296
Cl2 Cl 0.237 0.821 0.708
Cl3 Cl 0.259 0.298 0.467
Cl4 Cl 0.292 0.343 0.064
Cl5 Cl 0.708 0.657 0.936
Cl6 Cl 0.741 0.702 0.533
Cl7 Cl 0.763 0.179 0.292
Cl8 Cl 0.785 0.202 0.704
```

=====

No. 3
Here is a relaxed structure of Ca2NpInO6 from Alexandria. Energies are from PBE-GGA.

## Properties
**Theoretical density**: 6.292 Mg/m³
**Total energy**: -0.5585 Ry per atom
**Fermi-level density of states**: 16.30 states/eV/cell
**Space-group type**: P2_1/c (14)
**Formation energy (no corrections)**: -2.66 eV/atom

Cell and atoms, written as CIF:
```
data_Ca2NpInO6
_symmetry_space_group_name_H-M 'P 1'
_symmetry_Int_Tables_number 1
_symmetry_space_group_name_Hall 'P 1'
_cell_length_a 5.704
_cell_length_b 5.924
_cell_length_c 9.997
_cell_angle_alpha 90.00
_cell_angle_beta 124.42
_cell_angle_gamma 90.00
loop_
_atom_site_label
_atom_site_type_symbol
_atom_site_fract_x
_atom_site_fract_y
_atom_site_fract_z
Ca1 Ca 0.233 0.054 0.248
Ca2 Ca 0.233 0.446 0.748
Ca3 Ca 0.767 0.554 0.252
Ca4 Ca 0.767 0.946 0.752
Np1 Np 0.500 0.000 0.000
Np2 Np 0.500 0.500 0.500
In1 In 0.000 0.000 0.500
In2 In 0.000 0.500 0.000
O1 O 0.137 0.192 0.940
O2 O 0.137 0.308 0.440
O3 O 0.246 0.702 0.934
O4 O 0.246 0.798 0.434
O5 O 0.373 0.055 0.753
O6 O 0.373 0.445 0.253
O7 O 0.627 0.555 0.747
O8 O 0.627 0.945 0.247
O9 O 0.754 0.202 0.566
O10 O 0.754 0.298 0.066
O11 O 0.863 0.692 0.560
O12 O 0.863 0.808 0.060
```

=====

- Which of these has the lowest Fermi-level density of states?
  TlSnGe2Cl8